Entry from Alexandria: an optimized crystal structure of Na3Bi3Au (PBE).

a b c (Å): 4.868 6.278 15.380
angles (deg): 83.80 80.89 67.19
Sites, in units of the cell vectors:
Na1 0.520 0.336 0.624
Na2 0.480 0.664 0.376
Na3 0.264 0.232 0.239
Na4 0.736 0.768 0.761
Na5 0.414 0.255 0.917
Na6 0.586 0.745 0.083
Bi1 0.856 0.753 0.535
Bi2 0.144 0.247 0.465
Bi3 0.121 0.833 0.925
Bi4 0.879 0.167 0.075
Bi5 0.974 0.819 0.233
Bi6 0.026 0.181 0.767
Au1 0.756 0.111 0.378
Au2 0.244 0.889 0.622

Output
- Formation enthalpy at 0 K: -0.2651 eV/atom
- Uncorrected energy: -2.96 eV per atom
- Crystal system: monoclinic
- Energy relative to the lowest polymorph listed for this composition: 0.000 eV per atom
- Density of states at the Fermi level: 2.02 states/eV/f.u.

***

Entry from Alexandria: an optimized crystal structure of TcIr2Au (PBE).

a b c (Å): 4.824 4.824 4.825
angles (deg): 80.30 80.30 33.63
Sites, in units of the cell vectors:
Au1 0.250 0.250 0.247
Ir1 0.007 0.007 0.991
Ir2 0.750 0.750 0.739
Tc1 0.493 0.493 0.523

Output
- Formation enthalpy at 0 K: 0.2203 eV/atom
- Uncorrected energy: -7.62 eV per atom
- Crystal system: monoclinic
- Energy relative to the lowest polymorph listed for this composition: 0.198 eV per atom
- Density of states at the Fermi level: 5.90 states/eV/f.u.

***

Entry from Alexandria: an optimized crystal structure of FeNi2H (PBE).

a b c (Å): 2.557 2.557 6.460
angles (deg): 78.48 78.48 60.01
Last column: magnetic moment on the atom in μB.
Sites, in units of the cell vectors:
Fe1 0.501 0.501 0.500  2.64
Ni1 0.059 0.059 0.823  0.47
Ni2 0.274 0.274 0.176  0.45
H1 0.666 0.666 0.001  -0.01

Output
- Uncorrected energy: -5.86 eV per atom
- Crystal system: monoclinic
- Energy relative to the lowest polymorph listed for this composition: 0.000 eV per atom
- Density of states at the Fermi level: 3.07 states/eV/f.u.